Entry 1:
Material: CaPRh2
Method: DFT, PBE
State: relaxed Values from VASP.

## Properties
Calculated volume (Å³ per atom): 16.1
VASP energy (eV per cell): -22.8
Crystal system: monoclinic
Total moment (μB/atom): 0.000

Structure (Quantum ESPRESSO input):
```
&SYSTEM
  ibrav = 0, nat = 4, ntyp = 3
/
ATOMIC_SPECIES
Ca 40.08 Ca.upf
P 30.97 P.upf
Rh 102.91 Rh.upf
CELL_PARAMETERS angstrom
2.906 -4.357 0.000
2.906 4.357 0.000
-1.485 0.000 2.541
ATOMIC_POSITIONS angstrom
Ca 0.000 0.000 0.000
P 2.906 0.000 0.000
Rh 0.710 2.178 1.271
Rh 0.710 -2.178 1.271
```

***

Entry 2:
Material: Ca2PRh2
Method: DFT, PBE
State: relaxed Values from VASP.

## Properties
Calculated volume (Å³ per atom): 19.0
VASP energy (eV per cell): -54.2
Crystal system: tetragonal
Total moment (μB/atom): 0.000

Structure (Quantum ESPRESSO input):
```
&SYSTEM
  ibrav = 0, nat = 10, ntyp = 3
/
ATOMIC_SPECIES
Ca 40.08 Ca.upf
P 30.97 P.upf
Rh 102.91 Rh.upf
CELL_PARAMETERS angstrom
6.423 0.000 0.000
0.000 6.423 0.000
0.000 0.000 4.606
ATOMIC_POSITIONS angstrom
Ca 1.098 2.113 0.000
Ca 2.113 5.324 0.000
Ca 4.310 1.098 0.000
Ca 5.324 4.310 0.000
P 0.000 0.000 2.303
P 3.211 3.211 2.303
Rh 0.997 4.208 2.303
Rh 2.215 0.997 2.303
Rh 4.208 5.426 2.303
Rh 5.426 2.215 2.303
```